Compound: NpMoAuO6
Source: Alexandria via LeMat-Bulk
Functional: PBE with a Hubbard U
Structure: relaxed

Lattice parameters (Å, degrees): 5.5289 5.5289 9.7877 90.00 90.00 120.00
Last column: magnetic moment on the atom in μB.
Sites, in units of the cell vectors:
1 O 0.9893 0.6276 0.8581  -0.06
2 O 0.0107 0.6383 0.3581  -0.06
3 O 0.3617 0.9893 0.1419  -0.06
4 O 0.0107 0.3724 0.1419  -0.06
5 O 0.3724 0.0107 0.6419  -0.06
6 O 0.6383 0.6276 0.6419  -0.06
7 O 0.9893 0.3617 0.6419  -0.06
8 O 0.6383 0.0107 0.8581  -0.06
9 O 0.6276 0.9893 0.3581  -0.06
10 O 0.3724 0.3617 0.8581  -0.06
11 O 0.6276 0.6383 0.1419  -0.06
12 O 0.3617 0.3724 0.3581  -0.06
13 Np 0.3333 0.6667 0.7500  1.47
14 Np 0.6667 0.3333 0.2500  1.47
15 Mo 0.6667 0.3333 0.7500  0.93
16 Mo 0.3333 0.6667 0.2500  0.93
17 Au 0.0000 0.0000 0.0000  -0.07
18 Au 0.0000 0.0000 0.5000  -0.07

VASP energy = -136.100 eV per cell
Crystal system = trigonal
SG = P-31c, No. 163
Size of the total moment = 3.997 μB per cell